Entry 1:
A relaxed structure of Tl2CuAs, computed with PBE.

Calculated values
- offset from the most stable computed form (meV/atom) = 370.9
- energy of formation (eV/f.u.) = 1.37

Lattice parameters (Å, degrees): 5.131 5.131 7.136 90.00 90.00 90.00
Space group I-4m2 (No. 119)
Asymmetric unit:
Tl1 0.000 0.000 0.000 (multiplicity 2)
Tl2 0.000 0.500 0.250 (multiplicity 2)
Cu1 0.000 0.000 0.500 (multiplicity 2)
As1 0.000 0.500 0.750 (multiplicity 2)

Entry 2:
A relaxed structure of IrAu, computed with PBE.

Calculated values
- offset from the most stable computed form (meV/atom) = 303.7
- energy of formation (eV/f.u.) = 0.98

Lattice parameters (Å, degrees): 8.121 8.121 4.210 90.00 90.00 90.00
Space group I4/mmm (No. 139)
Asymmetric unit:
Ir1 0.157 0.157 0.000 (multiplicity 8)
Au1 0.000 0.310 0.500 (multiplicity 8)

Entry 3:
A relaxed structure of La2ZnNiI, computed with PBE.

Calculated values
- formation energy from raw total energies (meV/atom) = -486

Lattice parameters (Å, degrees): 5.464 5.464 4.673 90.00 90.00 90.00
Space group P4/mmm (No. 123)
Asymmetric unit:
La1 0.000 0.500 0.000 (multiplicity 2)
Zn1 0.000 0.000 0.500 (multiplicity 1)
Ni1 0.000 0.000 0.000 (multiplicity 1)
I1 0.500 0.500 0.500 (multiplicity 1)

Entry 4:
A relaxed structure of ScPPd2F, computed with PBE.

Calculated values
- formation energy from raw total energies (meV/atom) = -233

Lattice parameters (Å, degrees): 4.219 4.219 4.742 90.00 90.00 90.00
Space group P4/mmm (No. 123)
Asymmetric unit:
Sc1 0.000 0.000 0.000 (multiplicity 1)
P1 0.500 0.500 0.000 (multiplicity 1)
Pd1 0.000 0.500 0.500 (multiplicity 2)
F1 0.500 0.500 0.500 (multiplicity 1)